Here is an optimized crystal structure of SbIr2Se from Alexandria via LeMat-Bulk. Energies are from PBE.

abc: 2.967 4.619 5.146
angles: 90.00 90.00 90.00
Fractional positions:
Sb  0.000  0.000  0.000
Ir  0.000  0.500  0.500
Ir  0.500  0.500  0.000
Se  0.500  0.000  0.500

## Properties
Density ... 13.8 g cm⁻³
DOS at the Fermi energy ... 3.182 states/eV/f.u.
Energy ... -23.2 eV per cell
Calculated volume ... 70.5 Å³ per cell
Total magnetization ... 0.00 μB per formula unit